## Nd3HoTm2Te6 (GGA-PBE)

Data for an optimized crystal structure of Nd3HoTm2Te6.

Cell lengths 9.942, 9.942, 8.967 Å; angles 105.37, 105.37, 25.18 degrees
Atoms (fractional coordinates):
Nd1 0.000 0.000 0.000
Nd2 0.335 0.335 0.668
Nd3 0.665 0.665 0.332
Ho1 0.000 0.000 0.500
Tm1 0.334 0.334 0.168
Tm2 0.666 0.666 0.832
Te1 0.164 0.164 0.593
Te2 0.171 0.171 0.073
Te3 0.496 0.496 0.257
Te4 0.504 0.504 0.743
Te5 0.829 0.829 0.927
Te6 0.836 0.836 0.407

Computed properties:
- Fermi-level density of states (states/eV per atom) = 0.4601
- calculated total energy (hartree per atom) = -0.1914
- total magnetic moment (Bohr magnetons per cell) = 0.00